[1]
A plane-wave DFT calculation with PBE was carried out for an optimized crystal structure of Nd3Al3Au2.

Unit cell a=4.5849 b=5.8969 c=15.2851 alpha=90.00 beta=90.00 gamma=112.88
With the nearest neighbours (Å) after each atom.
Element x y z (fractional)
1 Nd 0.9067 0.8134 0.3889  4 Au 3.19-3.45, 7 Al 3.21-3.44
2 Nd 0.0933 0.1866 0.8889  4 Au 3.19-3.45, 7 Al 3.21-3.44
3 Nd 0.6250 0.2500 0.2500  5 Al 3.18-3.29, 4 Au 3.33
4 Nd 0.9067 0.8134 0.1111  4 Au 3.19-3.45, 7 Al 3.21-3.44
5 Nd 0.3750 0.7500 0.7500  5 Al 3.18-3.29, 4 Au 3.33
6 Nd 0.0933 0.1866 0.6111  4 Au 3.19-3.45, 7 Al 3.21-3.44
7 Al 0.6675 0.3350 0.7500  2 Au 2.69
8 Al 0.3325 0.6650 0.2500  2 Au 2.69
9 Al 0.3829 0.7658 0.5346  3 Au 2.66-2.88, 1 Al 2.76
10 Al 0.6171 0.2342 0.4654  3 Au 2.66-2.88, 1 Al 2.76
11 Al 0.6171 0.2342 0.0346  3 Au 2.66-2.88, 1 Al 2.76
12 Al 0.3829 0.7658 0.9654  3 Au 2.66-2.88, 1 Al 2.76
13 Au 0.1996 0.3992 0.3986  4 Al 2.66-2.88
14 Au 0.1996 0.3992 0.1014  4 Al 2.66-2.88
15 Au 0.8004 0.6008 0.6014  4 Al 2.66-2.88
16 Au 0.8004 0.6008 0.8986  4 Al 2.66-2.88

Space group: Cmcm, No. 63
Magnetization in μB/f.u.: 0.0
E_form in eV per atom: -0.641

[2]
A plane-wave DFT calculation with PBE was carried out for an optimized crystal structure of NdAl3Au.

Unit cell a=4.3075 b=4.3075 c=6.3047 alpha=69.99 beta=69.99 gamma=89.98
With the nearest neighbours (Å) after each atom.
Element x y z (fractional)
1 Au 0.0233 0.8268 0.6590  5 Al 2.49-2.57
2 Al 0.7974 0.6009 0.1100  1 Au 2.49, 4 Al 2.70
3 Al 0.1492 0.4532 0.4063  2 Au 2.57, 2 Al 2.70
4 Al 0.6497 0.9527 0.4063  2 Au 2.57, 2 Al 2.70
5 Nd 0.3882 0.1917 0.9296  8 Al 3.20-3.40, 4 Au 3.39

Space group: I4mm, No. 107
Magnetization in μB/f.u.: 0.0
E_form in eV per atom: -0.630

[3]
A plane-wave DFT calculation with PBE was carried out for an optimized crystal structure of Nd2Al3Au5.

Unit cell a=6.2680 b=8.7994 c=8.7994 alpha=88.39 beta=68.91 gamma=68.91
With the nearest neighbours (Å) after each atom.
Element x y z (fractional)
1 Al 0.1156 0.2529 0.5165  5 Au 2.50-2.59
2 Al 0.6156 0.5165 0.2529  5 Au 2.50-2.59
3 Al 0.2500 0.0004 0.9996  6 Au 2.64-2.90
4 Al 0.3844 0.4835 0.7471  5 Au 2.50-2.59
5 Al 0.8844 0.7471 0.4835  5 Au 2.50-2.59
6 Al 0.7500 0.9996 0.0004  6 Au 2.64-2.90
7 Au 0.7500 0.5004 0.4996  4 Al 2.58
8 Au 0.3398 0.0577 0.2588  3 Al 2.50-2.64
9 Au 0.2500 0.4996 0.5004  4 Al 2.58
10 Au 0.7500 0.7641 0.2359  3 Al 2.59-2.89, 2 Au 2.86
11 Au 0.7500 0.2356 0.7644  2 Al 2.58, 2 Au 2.86
12 Au 0.8398 0.2588 0.0577  3 Al 2.50-2.64
13 Au 0.6602 0.9423 0.7412  3 Al 2.50-2.64
14 Au 0.2500 0.7644 0.2356  2 Al 2.58, 2 Au 2.86
15 Au 0.2500 0.2359 0.7641  3 Al 2.59-2.89, 2 Au 2.86
16 Au 0.1602 0.7412 0.9423  3 Al 2.50-2.64
17 Nd 0.7320 0.1351 0.4017  8 Au 3.11-3.40, 3 Al 3.33-3.39
18 Nd 0.7680 0.5983 0.8649  8 Au 3.11-3.40, 3 Al 3.33-3.39
19 Nd 0.2680 0.8649 0.5983  8 Au 3.11-3.40, 3 Al 3.33-3.39
20 Nd 0.2320 0.4017 0.1351  8 Au 3.11-3.40, 3 Al 3.33-3.39

Space group: C2/c, No. 15
Magnetization in μB/f.u.: 0.0
E_form in eV per atom: -0.687
Energy above the lowest structure with this stoichiometry in eV/f.u.: 0.00

[4]
A plane-wave DFT calculation with PBE was carried out for an optimized crystal structure of Nd3Al2Au7.

Unit cell a=4.3508 b=4.3508 c=14.4823 alpha=98.64 beta=98.64 gamma=90.00
With the nearest neighbours (Å) after each atom.
Element x y z (fractional)
1 Au 0.0808 0.5808 0.1616  2 Al 2.56
2 Au 0.0000 0.0000 0.0000  4 Nd 3.08, 8 Au 3.16
3 Au 0.9192 0.4192 0.8384  2 Al 2.56
4 Au 0.2178 0.2178 0.4356  1 Al 2.54
5 Au 0.5808 0.0808 0.1616  2 Al 2.56
6 Au 0.7822 0.7822 0.5644  1 Al 2.54
7 Au 0.4192 0.9192 0.8384  2 Al 2.56
8 Nd 0.6747 0.6747 0.3493  5 Au 3.04-3.31, 4 Al 3.35
9 Nd 0.5000 0.5000 0.0000  12 Au 3.08-3.16
10 Nd 0.3253 0.3253 0.6507  5 Au 3.04-3.31, 4 Al 3.35
11 Al 0.1282 0.1282 0.2565  5 Au 2.54-2.56
12 Al 0.8718 0.8718 0.7435  5 Au 2.54-2.56

Space group: I4/mmm, No. 139
Magnetization in μB/f.u.: 0.0
E_form in eV per atom: -0.597

[5]
A plane-wave DFT calculation with PBE was carried out for an optimized crystal structure of Nd4AlAu.

Unit cell a=5.4685 b=6.4708 c=11.3375 alpha=90.00 beta=103.96 gamma=90.00
With the nearest neighbours (Å) after each atom.
Element x y z (fractional)
1 Nd 0.8839 0.2977 0.7677  2 Au 2.90, 1 Al 3.25
2 Nd 0.5600 0.3533 0.1200  2 Au 2.95-3.17
3 Nd 0.7164 0.5515 0.4328  4 Nd 3.14-3.40, 3 Al 3.23-3.36
4 Nd 0.6945 0.0713 0.3890  1 Au 3.04, 4 Nd 3.14-3.40, 2 Al 3.26
5 Nd 0.1161 0.7977 0.2323  2 Au 2.90, 1 Al 3.25
6 Nd 0.3055 0.5713 0.6110  1 Au 3.04, 4 Nd 3.14-3.40, 2 Al 3.26
7 Nd 0.2836 0.0515 0.5672  4 Nd 3.14-3.40, 3 Al 3.23-3.36
8 Nd 0.4400 0.8533 0.8800  2 Au 2.95-3.17
9 Au 0.4260 0.3413 0.8519  5 Nd 2.90-3.17
10 Au 0.5740 0.8413 0.1481  5 Nd 2.90-3.17
11 Al 0.8402 0.8183 0.6804  10 Nd 3.23-3.60
12 Al 0.1598 0.3183 0.3196  10 Nd 3.23-3.60

Space group: Cmc2_1, No. 36
Magnetization in μB/f.u.: 0.0
E_form in eV per atom: -0.215

[6]
A plane-wave DFT calculation with PBE was carried out for an optimized crystal structure of NdAl6Au12.

Unit cell a=7.4969 b=7.4969 c=7.4969 alpha=105.78 beta=105.78 gamma=105.78
With the nearest neighbours (Å) after each atom.
Element x y z (fractional)
1 Au 0.8650 0.6160 0.6160  4 Al 2.70-3.00, 4 Au 2.85-2.98
2 Au 0.1350 0.3840 0.3840  4 Al 2.70-3.00, 4 Au 2.85-2.98
3 Au 0.1191 0.8809 0.5000  4 Al 2.62-2.68, 3 Au 2.85
4 Au 0.6160 0.8650 0.6160  4 Al 2.70-3.00, 4 Au 2.85-2.98
5 Au 0.5000 0.1191 0.8809  4 Al 2.62-2.68, 3 Au 2.85
6 Au 0.6160 0.6160 0.8650  4 Al 2.70-3.00, 4 Au 2.85-2.98
7 Au 0.5000 0.8809 0.1191  4 Al 2.62-2.68, 3 Au 2.85
8 Au 0.3840 0.3840 0.1350  4 Al 2.70-3.00, 4 Au 2.85-2.98
9 Au 0.8809 0.1191 0.5000  4 Al 2.62-2.68, 3 Au 2.85
10 Au 0.8809 0.5000 0.1191  4 Al 2.62-2.68, 3 Au 2.85
11 Au 0.3840 0.1350 0.3840  4 Al 2.70-3.00, 4 Au 2.85-2.98
12 Au 0.1191 0.5000 0.8809  4 Al 2.62-2.68, 3 Au 2.85
13 Al 0.7210 0.7210 0.3059  7 Au 2.62-2.72
14 Al 0.7210 0.3059 0.7210  7 Au 2.62-2.72
15 Al 0.2790 0.6941 0.2790  7 Au 2.62-2.72
16 Al 0.2790 0.2790 0.6941  7 Au 2.62-2.72
17 Al 0.3059 0.7210 0.7210  7 Au 2.62-2.72
18 Al 0.6941 0.2790 0.2790  7 Au 2.62-2.72
19 Nd 0.0000 0.0000 0.0000  6 Au 3.15

Space group: R-3m, No. 166
Magnetization in μB/f.u.: 0.0
E_form in eV per atom: -0.365

Q: Which of these has the lowest E_form?
A: Nd2Al3Au5

Q: What is the magnetization in the second record?
A: 0.0 μB/f.u.

Q: Number 1 is which compound?
A: Nd3Al3Au2